Material: MgAg2Pt
Method: DFT, PBE
State: optimized geometry

Cell lengths 4.9155, 4.9155, 3.0180 Å; angles 90.00, 90.00, 109.80 degrees
Positions (direct):
Ag 0.0000 0.0000 0.0000
Ag 0.5000 0.5000 0.0000
Pt 0.0000 0.5000 0.5000
Mg 0.5000 0.0000 0.5000

ΔE_f: -77 kJ/mol of formula units